Entry 1:
The following is a PBE-GGA calculation of a relaxed structure of NaMgTcOs, from the Open Quantum Materials Database.

Results
* energy above the most stable polymorph in this dataset: 0.053 eV/atom
* electronic total energy: -5.587 eV/atom
* size of the total moment: 0.01 μB per cell

Cell and atoms, written as CIF:
```
data_NaMgTcOs
_cell_length_a 6.2970
_cell_length_b 6.2970
_cell_length_c 6.2970
_cell_angle_alpha 90.00
_cell_angle_beta 90.00
_cell_angle_gamma 90.00
_space_group_name_H-M_alt 'F -4 3 m'
_space_group_IT_number 216
_space_group_name_Hall 'F -4 2 3'
loop_
_atom_site_label
_atom_site_type_symbol
_atom_site_fract_x
_atom_site_fract_y
_atom_site_fract_z
Na1 Na 0.0000 0.0000 0.0000
Mg1 Mg 0.2500 0.2500 0.2500
Tc1 Tc 0.0000 0.0000 0.5000
Os1 Os 0.2500 0.2500 0.7500
```

Entry 2:
The following is a PBE-GGA calculation of a relaxed structure of NaMgPd, from the Open Quantum Materials Database.

Results
* energy above the most stable polymorph in this dataset: 0.000 eV/atom
* electronic total energy: -2.792 eV/atom

Cell and atoms, written as CIF:
```
data_NaMgPd
_cell_length_a 6.4800
_cell_length_b 6.4800
_cell_length_c 6.4800
_cell_angle_alpha 90.00
_cell_angle_beta 90.00
_cell_angle_gamma 90.00
_space_group_name_H-M_alt 'F -4 3 m'
_space_group_IT_number 216
_space_group_name_Hall 'F -4 2 3'
loop_
_atom_site_label
_atom_site_type_symbol
_atom_site_fract_x
_atom_site_fract_y
_atom_site_fract_z
Na1 Na 0.0000 0.0000 0.0000
Mg1 Mg 0.0000 0.0000 0.5000
Pd1 Pd 0.2500 0.2500 0.7500
```

Entry 3:
The following is a PBE-GGA calculation of a relaxed structure of NaMgPd, from the Open Quantum Materials Database.

Results
* energy above the most stable polymorph in this dataset: 0.385 eV/atom
* electronic total energy: -2.406 eV/atom

Cell and atoms, written as CIF:
```
data_NaMgPd
_cell_length_a 6.4131
_cell_length_b 6.4131
_cell_length_c 6.4131
_cell_angle_alpha 90.00
_cell_angle_beta 90.00
_cell_angle_gamma 90.00
_space_group_name_H-M_alt 'F -4 3 m'
_space_group_IT_number 216
_space_group_name_Hall 'F -4 2 3'
loop_
_atom_site_label
_atom_site_type_symbol
_atom_site_fract_x
_atom_site_fract_y
_atom_site_fract_z
Na1 Na 0.0000 0.0000 0.0000
Mg1 Mg 0.2500 0.2500 0.7500
Pd1 Pd 0.2500 0.2500 0.2500
```

Entry 4:
The following is a PBE-GGA calculation of a relaxed structure of Na2Mg2Sn2PdPt, from the Open Quantum Materials Database.

Results
* electronic total energy: -3.510 eV/atom
* size of the total moment: 0.00 μB per cell

Cell and atoms, written as CIF:
```
data_Na2Mg2Sn2PdPt
_cell_length_a 4.7497
_cell_length_b 4.7497
_cell_length_c 6.7117
_cell_angle_alpha 90.00
_cell_angle_beta 90.00
_cell_angle_gamma 90.00
_space_group_name_H-M_alt 'P -4 m 2'
_space_group_IT_number 115
loop_
_space_group_symop_operation_xyz
'x,y,z'
'y,-x,-z'
'-x,-y,z'
'-y,x,-z'
'-x,y,z'
'-y,-x,-z'
'x,-y,z'
'y,x,-z'
loop_
_atom_site_label
_atom_site_type_symbol
_atom_site_fract_x
_atom_site_fract_y
_atom_site_fract_z
Na1 Na 0.0000 0.0000 0.0000
Na2 Na 0.5000 0.5000 0.5000
Mg1 Mg 0.0000 0.5000 0.2484
Sn1 Sn 0.0000 0.5000 0.7497
Pd1 Pd 0.0000 0.0000 0.5000
Pt1 Pt 0.5000 0.5000 0.0000
```

Entry 5:
The following is a PBE-GGA calculation of a relaxed structure of NaMgTaPd, from the Open Quantum Materials Database.

Results
* energy above the most stable polymorph in this dataset: 0.000 eV/atom
* electronic total energy: -4.680 eV/atom
* size of the total moment: 0.00 μB per cell

Cell and atoms, written as CIF:
```
data_NaMgTaPd
_cell_length_a 6.5323
_cell_length_b 6.5323
_cell_length_c 6.5323
_cell_angle_alpha 90.00
_cell_angle_beta 90.00
_cell_angle_gamma 90.00
_space_group_name_H-M_alt 'F -4 3 m'
_space_group_IT_number 216
_space_group_name_Hall 'F -4 2 3'
loop_
_atom_site_label
_atom_site_type_symbol
_atom_site_fract_x
_atom_site_fract_y
_atom_site_fract_z
Na1 Na 0.0000 0.0000 0.0000
Mg1 Mg 0.2500 0.2500 0.2500
Ta1 Ta 0.2500 0.2500 0.7500
Pd1 Pd 0.0000 0.0000 0.5000
```

Entry 6:
The following is a PBE-GGA calculation of a relaxed structure of NaMgTaPd, from the Open Quantum Materials Database.

Results
* energy above the most stable polymorph in this dataset: 0.099 eV/atom
* electronic total energy: -4.580 eV/atom
* size of the total moment: 0.00 μB per cell

Cell and atoms, written as CIF:
```
data_NaMgTaPd
_cell_length_a 6.6049
_cell_length_b 6.6049
_cell_length_c 6.6049
_cell_angle_alpha 90.00
_cell_angle_beta 90.00
_cell_angle_gamma 90.00
_space_group_name_H-M_alt 'F -4 3 m'
_space_group_IT_number 216
_space_group_name_Hall 'F -4 2 3'
loop_
_atom_site_label
_atom_site_type_symbol
_atom_site_fract_x
_atom_site_fract_y
_atom_site_fract_z
Na1 Na 0.0000 0.0000 0.0000
Mg1 Mg 0.2500 0.2500 0.7500
Ta1 Ta 0.0000 0.0000 0.5000
Pd1 Pd 0.2500 0.2500 0.2500
```

Entry 7:
The following is a PBE-GGA calculation of a relaxed structure of NaPrMg, from the Open Quantum Materials Database.

Results
* energy above the most stable polymorph in this dataset: 0.201 eV/atom
* electronic total energy: -1.898 eV/atom
* size of the total moment: 1.43 μB per cell

Cell and atoms, written as CIF:
```
data_NaPrMg
_cell_length_a 7.5996
_cell_length_b 7.5996
_cell_length_c 7.5996
_cell_angle_alpha 90.00
_cell_angle_beta 90.00
_cell_angle_gamma 90.00
_space_group_name_H-M_alt 'F -4 3 m'
_space_group_IT_number 216
_space_group_name_Hall 'F -4 2 3'
loop_
_atom_site_label
_atom_site_type_symbol
_atom_site_fract_x
_atom_site_fract_y
_atom_site_fract_z
Na1 Na 0.0000 0.0000 0.0000
Pr1 Pr 0.2500 0.2500 0.7500
Mg1 Mg 0.0000 0.0000 0.5000
```

Entry 8:
The following is a PBE-GGA calculation of a relaxed structure of NaPrMg, from the Open Quantum Materials Database.

Results
* energy above the most stable polymorph in this dataset: 0.000 eV/atom
* electronic total energy: -2.098 eV/atom
* size of the total moment: 1.45 μB per cell

Cell and atoms, written as CIF:
```
data_NaPrMg
_cell_length_a 7.5034
_cell_length_b 7.5034
_cell_length_c 7.5034
_cell_angle_alpha 90.00
_cell_angle_beta 90.00
_cell_angle_gamma 90.00
_space_group_name_H-M_alt 'F -4 3 m'
_space_group_IT_number 216
_space_group_name_Hall 'F -4 2 3'
loop_
_atom_site_label
_atom_site_type_symbol
_atom_site_fract_x
_atom_site_fract_y
_atom_site_fract_z
Na1 Na 0.0000 0.0000 0.0000
Pr1 Pr 0.0000 0.0000 0.5000
Mg1 Mg 0.2500 0.2500 0.2500
```

Entry 9:
The following is a PBE-GGA calculation of a relaxed structure of NaPrMgS3, from the Open Quantum Materials Database.

Results
* electronic total energy: -4.936 eV/atom
* size of the total moment: 0.00 μB per cell

Cell and atoms, written as CIF:
```
data_NaPrMgS3
_cell_length_a 11.6971
_cell_length_b 4.1605
_cell_length_c 11.6379
_cell_angle_alpha 90.00
_cell_angle_beta 90.00
_cell_angle_gamma 90.00
_space_group_name_H-M_alt 'P n m a'
_space_group_IT_number 62
loop_
_space_group_symop_operation_xyz
'x,y,z'
'-x,-y,-z'
'-x+1/2,-y,z+1/2'
'x+1/2,y,-z+1/2'
'x+1/2,-y+1/2,-z+1/2'
'-x+1/2,y+1/2,z+1/2'
'-x,y+1/2,-z'
'x,-y+1/2,z'
loop_
_atom_site_label
_atom_site_type_symbol
_atom_site_fract_x
_atom_site_fract_y
_atom_site_fract_z
Na1 Na 0.1344 0.2500 0.0119
Pr1 Pr 0.0268 0.2500 0.6724
Mg1 Mg 0.2398 0.2500 0.2873
S1 S 0.0624 0.7500 0.8440
S2 S 0.1013 0.2500 0.4368
S3 S 0.2146 0.7500 0.1796
```

Entry 10:
The following is a PBE-GGA calculation of a relaxed structure of NaPrMgSe3, from the Open Quantum Materials Database.

Results
* electronic total energy: -4.488 eV/atom
* size of the total moment: 0.01 μB per cell

Cell and atoms, written as CIF:
```
data_NaPrMgSe3
_cell_length_a 12.1102
_cell_length_b 4.3050
_cell_length_c 12.2856
_cell_angle_alpha 90.00
_cell_angle_beta 90.00
_cell_angle_gamma 90.00
_space_group_name_H-M_alt 'P n m a'
_space_group_IT_number 62
loop_
_space_group_symop_operation_xyz
'x,y,z'
'-x,-y,-z'
'-x+1/2,-y,z+1/2'
'x+1/2,y,-z+1/2'
'x+1/2,-y+1/2,-z+1/2'
'-x+1/2,y+1/2,z+1/2'
'-x,y+1/2,-z'
'x,-y+1/2,z'
loop_
_atom_site_label
_atom_site_type_symbol
_atom_site_fract_x
_atom_site_fract_y
_atom_site_fract_z
Na1 Na 0.1406 0.2500 0.0068
Pr1 Pr 0.0266 0.2500 0.6730
Mg1 Mg 0.2414 0.2500 0.2856
Se1 Se 0.0578 0.7500 0.8450
Se2 Se 0.1028 0.2500 0.4375
Se3 Se 0.2142 0.7500 0.1743
```

Please write out number 4 again, unchanged.
The following is a PBE-GGA calculation of a relaxed structure of Na2Mg2Sn2PdPt, from the Open Quantum Materials Database.

Results
* electronic total energy: -3.510 eV/atom
* size of the total moment: 0.00 μB per cell

Cell and atoms, written as CIF:
```
data_Na2Mg2Sn2PdPt
_cell_length_a 4.7497
_cell_length_b 4.7497
_cell_length_c 6.7117
_cell_angle_alpha 90.00
_cell_angle_beta 90.00
_cell_angle_gamma 90.00
_space_group_name_H-M_alt 'P -4 m 2'
_space_group_IT_number 115
loop_
_space_group_symop_operation_xyz
'x,y,z'
'y,-x,-z'
'-x,-y,z'
'-y,x,-z'
'-x,y,z'
'-y,-x,-z'
'x,-y,z'
'y,x,-z'
loop_
_atom_site_label
_atom_site_type_symbol
_atom_site_fract_x
_atom_site_fract_y
_atom_site_fract_z
Na1 Na 0.0000 0.0000 0.0000
Na2 Na 0.5000 0.5000 0.5000
Mg1 Mg 0.0000 0.5000 0.2484
Sn1 Sn 0.0000 0.5000 0.7497
Pd1 Pd 0.0000 0.0000 0.5000
Pt1 Pt 0.5000 0.5000 0.0000
```

Question: What is the electronic total energy in the tenth record?
Answer: -4.488 eV/atom